Record 1
DFT (PBE-GGA) results for a relaxed structure of CaInRe.

```
3
Lattice="-1.487 1.487 7.079 1.487 -1.487 7.079 1.487 1.487 -7.079" Properties=species:S:1:pos:R:3 pbc="T T T"
Ca 0.000 0.000 0.000
In 0.000 0.000 9.759
Re 0.000 0.000 4.752
```

For the formation energy, the calculation gives 1.50 eV/f.u. The spin magnetization is 0.01 μB per formula unit. Its energy relative to the lowest polymorph listed for this composition is 0.000 eV per atom. The value obtained for the final energy is -5.23 eV per atom. The space group is I4mm.


Record 2
DFT (PBE-GGA) results for a relaxed structure of Ca2InRe.

```
4
Lattice="1.645 0.949 10.250 -1.645 0.949 10.250 0.000 -1.899 10.250" Properties=species:S:1:pos:R:3 pbc="T T T"
Ca 0.000 0.000 7.456
Ca 0.000 0.000 23.295
In 0.000 0.000 0.000
Re 0.000 0.000 15.376
```

For the formation energy, the calculation gives 2.12 eV/f.u. The spin magnetization is 1.03 μB per formula unit. The value obtained for the final energy is -4.27 eV per atom. The space group is R-3m.


Record 3
DFT (PBE-GGA) results for a relaxed structure of CaInRe2.

```
4
Lattice="-1.692 2.290 4.797 1.692 -2.290 4.797 1.692 2.290 -4.797" Properties=species:S:1:pos:R:3 pbc="T T T"
Ca 0.000 0.000 0.000
In 0.000 0.000 4.797
Re 1.692 0.000 2.456
Re 0.000 2.290 2.341
```

For the formation energy, the calculation gives 2.97 eV/f.u. The spin magnetization is 0.00 μB per formula unit. The value obtained for the final energy is -6.67 eV per atom. The space group is Immm.


Record 4
DFT (PBE-GGA) results for a relaxed structure of CaInRe.

```
3
Lattice="-1.786 1.786 5.259 1.786 -1.786 5.259 1.786 1.786 -5.259" Properties=species:S:1:pos:R:3 pbc="T T T"
Ca 0.000 0.000 0.000
In 0.000 0.000 3.062
Re 0.000 0.000 7.232
```

For the formation energy, the calculation gives 1.62 eV/f.u. The spin magnetization is 0.00 μB per formula unit. Its energy relative to the lowest polymorph listed for this composition is 0.040 eV per atom. The value obtained for the final energy is -5.19 eV per atom. The space group is I4mm.


Record 5
DFT (PBE-GGA) results for a relaxed structure of CaInRe.

```
3
Lattice="-1.472 2.165 5.039 1.472 -2.165 5.039 1.472 2.165 -5.039" Properties=species:S:1:pos:R:3 pbc="T T T"
Ca 0.000 0.000 0.000
In 0.000 0.000 7.036
Re 0.000 0.000 3.182
```

For the formation energy, the calculation gives 1.55 eV/f.u. The spin magnetization is 0.00 μB per formula unit. Its energy relative to the lowest polymorph listed for this composition is 0.018 eV per atom. The value obtained for the final energy is -5.21 eV per atom. The space group is Imm2.


Record 6
DFT (PBE-GGA) results for a relaxed structure of CaInRe2.

```
4
Lattice="3.589 0.000 0.000 0.000 3.589 0.000 0.000 0.000 6.489" Properties=species:S:1:pos:R:3 pbc="T T T"
Ca 0.000 0.000 0.000
In 0.000 0.000 3.245
Re 1.794 1.794 2.049
Re 1.794 1.794 4.440
```

For the formation energy, the calculation gives 3.16 eV/f.u. The spin magnetization is 0.00 μB per formula unit. The value obtained for the final energy is -6.62 eV per atom. The space group is P4/mmm.


Record 7
DFT (PBE-GGA) results for a relaxed structure of CaInRe2.

```
4
Lattice="2.175 1.256 5.625 -2.175 1.256 5.625 0.000 -2.512 5.625" Properties=species:S:1:pos:R:3 pbc="T T T"
Ca 0.000 0.000 0.000
In 0.000 0.000 3.561
Re 0.000 0.000 7.921
Re 0.000 0.000 13.294
```

For the formation energy, the calculation gives 1.25 eV/f.u. The spin magnetization is 0.00 μB per formula unit. The value obtained for the final energy is -7.10 eV per atom. The space group is R3m.


Record 8
DFT (PBE-GGA) results for a relaxed structure of Ca2InRe.

```
4
Lattice="4.491 0.000 0.000 0.000 4.491 0.000 0.000 0.000 4.617" Properties=species:S:1:pos:R:3 pbc="T T T"
Ca 0.000 2.245 0.000
Ca 2.245 0.000 0.000
In 0.000 0.000 2.309
Re 2.245 2.245 2.309
```

For the formation energy, the calculation gives 2.02 eV/f.u. The spin magnetization is 0.96 μB per formula unit. The value obtained for the final energy is -4.29 eV per atom. The space group is P4/mmm.


Record 9
DFT (PBE-GGA) results for a relaxed structure of Ca2InRe.

```
4
Lattice="3.238 -4.733 0.000 3.238 4.733 0.000 0.000 0.000 3.005" Properties=species:S:1:pos:R:3 pbc="T T T"
Ca 1.619 2.366 0.000
Ca 1.619 -2.366 0.000
In 0.000 0.000 1.502
Re 3.238 0.000 1.502
```

For the formation energy, the calculation gives 1.89 eV/f.u. The spin magnetization is 0.00 μB per formula unit. The value obtained for the final energy is -4.32 eV per atom. The space group is Cmmm.


Record 10
DFT (PBE-GGA) results for a relaxed structure of CaInRe.

```
3
Lattice="0.000 3.385 3.385 3.385 0.000 3.385 3.385 3.385 0.000" Properties=species:S:1:pos:R:3 pbc="T T T"
Ca 0.000 0.000 0.000
In 3.385 3.385 3.385
Re 5.078 5.078 5.078
```

For the formation energy, the calculation gives 2.78 eV/f.u. The spin magnetization is 1.81 μB per formula unit. Its energy relative to the lowest polymorph listed for this composition is 0.425 eV per atom. The value obtained for the final energy is -4.80 eV per atom. The space group is F-43m.


Record 11
DFT (PBE-GGA) results for a relaxed structure of CaInRe.

```
3
Lattice="0.000 3.441 3.441 3.441 0.000 3.441 3.441 3.441 0.000" Properties=species:S:1:pos:R:3 pbc="T T T"
Ca 0.000 0.000 0.000
In 5.162 5.162 5.162
Re 1.721 1.721 1.721
```

For the formation energy, the calculation gives 4.50 eV/f.u. The spin magnetization is 2.30 μB per formula unit. Its energy relative to the lowest polymorph listed for this composition is 0.999 eV per atom. The value obtained for the final energy is -4.23 eV per atom. The space group is F-43m.


Record 12
DFT (PBE-GGA) results for a relaxed structure of CaInRe2.

```
4
Lattice="1.707 -2.252 0.000 1.707 2.252 0.000 0.000 0.000 9.630" Properties=species:S:1:pos:R:3 pbc="T T T"
Ca 0.000 0.000 0.000
In 0.000 0.000 4.815
Re 1.707 0.000 2.535
Re 1.707 0.000 7.095
```

For the formation energy, the calculation gives 3.09 eV/f.u. The spin magnetization is 0.00 μB per formula unit. The value obtained for the final energy is -6.64 eV per atom. The space group is Cmmm.


Record 13
DFT (PBE-GGA) results for a relaxed structure of CaInRe.

```
3
Lattice="5.004 0.000 0.000 -2.502 4.334 0.000 0.000 0.000 2.881" Properties=species:S:1:pos:R:3 pbc="T T T"
Ca 0.000 0.000 0.000
In 0.000 2.889 1.345
Re 2.502 1.445 1.616
```

For the formation energy, the calculation gives 1.56 eV/f.u. The spin magnetization is 0.00 μB per formula unit. Its energy relative to the lowest polymorph listed for this composition is 0.020 eV per atom. The value obtained for the final energy is -5.21 eV per atom. The space group is P3m1.


Record 14
DFT (PBE-GGA) results for a relaxed structure of Ca2InRe.

```
4
Lattice="5.843 -1.528 0.000 5.843 1.528 0.000 -1.489 0.000 5.443" Properties=species:S:1:pos:R:3 pbc="T T T"
Ca 0.000 0.000 0.000
Ca 1.267 0.000 3.399
In 4.299 0.000 2.465
Re 8.492 0.000 0.801
```

For the formation energy, the calculation gives 1.44 eV/f.u. The spin magnetization is 0.00 μB per formula unit. The value obtained for the final energy is -4.44 eV per atom. The space group is Cm.


Record 15
DFT (PBE-GGA) results for a relaxed structure of CaInRe2.

```
4
Lattice="3.995 0.000 0.000 0.000 3.995 0.000 0.000 0.000 4.645" Properties=species:S:1:pos:R:3 pbc="T T T"
Ca 0.000 0.000 0.000
In 1.998 1.998 0.000
Re 0.000 1.998 2.322
Re 1.998 0.000 2.322
```

For the formation energy, the calculation gives 2.96 eV/f.u. The spin magnetization is 0.00 μB per formula unit. The value obtained for the final energy is -6.67 eV per atom. The space group is P4/mmm.


Record 16
DFT (PBE-GGA) results for a relaxed structure of CaInRe2.

```
4
Lattice="2.835 0.000 0.000 0.000 5.018 0.000 -0.465 0.000 5.392" Properties=species:S:1:pos:R:3 pbc="T T T"
Ca 0.000 0.000 0.000
In 1.185 0.000 2.696
Re 0.641 2.509 4.197
Re 1.728 2.509 1.195
```

For the formation energy, the calculation gives 2.55 eV/f.u. The spin magnetization is 0.00 μB per formula unit. The value obtained for the final energy is -6.77 eV per atom. The space group is P2/m.


Record 17
DFT (PBE-GGA) results for a relaxed structure of Ca2InRe.

```
4
Lattice="3.007 0.000 0.000 0.000 5.166 0.000 -0.008 0.000 5.938" Properties=species:S:1:pos:R:3 pbc="T T T"
Ca 0.000 0.000 0.000
Ca 0.006 2.583 3.983
In 1.508 2.583 1.245
Re 1.504 0.000 2.845
```

For the formation energy, the calculation gives 1.63 eV/f.u. The spin magnetization is 0.00 μB per formula unit. The value obtained for the final energy is -4.39 eV per atom. The space group is Pm.


Record 18
DFT (PBE-GGA) results for a relaxed structure of CaIn4Re.

```
6
Lattice="0.000 4.113 4.113 4.113 0.000 4.113 4.113 4.113 0.000" Properties=species:S:1:pos:R:3 pbc="T T T"
Ca 0.000 0.000 0.000
In 5.136 3.089 3.089
In 3.089 5.136 3.089
In 3.089 3.089 5.136
In 5.136 5.136 5.136
Re 2.056 2.056 2.056
```

For the formation energy, the calculation gives 3.11 eV/f.u. The spin magnetization is 0.90 μB per formula unit. The value obtained for the final energy is -3.72 eV per atom. The space group is F-43m.


Record 19
DFT (PBE-GGA) results for a relaxed structure of Ca2InRe.

```
4
Lattice="-2.272 2.272 4.535 2.272 -2.272 4.535 2.272 2.272 -4.535" Properties=species:S:1:pos:R:3 pbc="T T T"
Ca 2.272 0.000 2.268
Ca 0.000 2.272 2.268
In 0.000 0.000 0.000
Re 0.000 0.000 4.535
```

For the formation energy, the calculation gives 1.98 eV/f.u. The spin magnetization is 1.09 μB per formula unit. The value obtained for the final energy is -4.30 eV per atom. The space group is I4/mmm.


Record 20
DFT (PBE-GGA) results for a relaxed structure of CaInRe2.

```
4
Lattice="1.479 0.854 9.801 -1.479 0.854 9.801 0.000 -1.708 9.801" Properties=species:S:1:pos:R:3 pbc="T T T"
Ca 0.000 0.000 0.000
In 0.000 0.000 14.701
Re 0.000 0.000 7.223
Re 0.000 0.000 22.179
```

For the formation energy, the calculation gives 3.44 eV/f.u. The spin magnetization is 0.48 μB per formula unit. The value obtained for the final energy is -6.55 eV per atom. The space group is R-3m.